GGA-PBE Th4HgAu, optimized geometry; theoretical density = 12.7 Mg/m³; E_tot = -5.81 eV per atom; distance to the lowest polymorph of the same formula = 0.000 eV per atom; ΔE_f = -0.268 eV/atom; symmetry = P4/mcc (124)
1.0
7.643 0.000 0.000
0.000 7.643 0.000
0.000 0.000 5.929
Th Hg Au
8 2 2
Cartesian
1.152 2.599 0.000
1.152 5.044 2.965
2.599 1.152 2.965
2.599 6.490 0.000
5.044 1.152 0.000
5.044 6.490 2.965
6.490 2.599 2.965
6.490 5.044 0.000
3.821 3.821 1.482
3.821 3.821 4.447
0.000 0.000 1.482
0.000 0.000 4.447